The following is a PBE-GGA calculation of crystalline DyTmAs at its relaxed geometry, from Alexandria.

Cell: 3.9517 3.9517 6.3610 Å, 90.00 90.00 120.00°
Space group P3m1 (No. 156)
Inequivalent atoms, fractional coordinates:
Dy 0.0000 0.0000 0.0000 x1
Tm 0.6667 0.3333 0.5214 x1
As 0.3333 0.6667 0.2644 x1

Computed properties:
Energy relative to the elements (meV per atom): -841
Size of the total moment (μB/cell): 0.029
Distance to the lowest polymorph of the same formula (meV/atom): 0

The following is a PBE-GGA calculation of crystalline Dy2TmAs3 at its relaxed geometry, from Alexandria.

Cell: 4.100 4.100 17.395 Å, 90.00 90.00 90.00°
Space group I4/mmm (No. 139)
Inequivalent atoms, fractional coordinates:
Dy 0.000 0.000 0.167 x4
Tm 0.000 0.000 0.500 x2
As 0.000 0.000 0.000 x2
As 0.000 0.000 0.334 x4

Computed properties:
Energy relative to the elements (meV per atom): -1526
Size of the total moment (μB/cell): 0.000

The following is a PBE-GGA calculation of crystalline Dy2TmAs at its relaxed geometry, from Alexandria.

Cell: 3.8388 3.8388 28.1025 Å, 90.00 90.00 120.00°
Space group R-3m (No. 166, hexagonal axes)
Inequivalent atoms, fractional coordinates:
Dy 0.0000 0.0000 0.2287 x6
Tm 0.0000 0.0000 0.0000 x3
As 0.0000 0.0000 0.5000 x3

Computed properties:
Energy relative to the elements (meV per atom): -572
Size of the total moment (μB/cell): 2.815

The following is a PBE-GGA calculation of crystalline Dy3TmAs4 at its relaxed geometry, from Alexandria.

Cell: 8.209 11.608 4.106 Å, 90.00 90.00 90.00°
Space group Cmmm (No. 65)
Inequivalent atoms, fractional coordinates:
Dy 0.000 0.000 0.000 x2
Dy 0.250 0.250 0.500 x4
Tm 0.000 0.500 0.000 x2
As 0.000 0.251 0.000 x4
As 0.248 0.500 0.500 x4

Computed properties:
Energy relative to the elements (meV per atom): -1528
Size of the total moment (μB/cell): 0.000
Distance to the lowest polymorph of the same formula (meV/atom): 3

The following is a PBE-GGA calculation of crystalline DyTm5As6 at its relaxed geometry, from Alexandria.

Cell: 7.057 12.217 7.053 Å, 90.00 109.49 90.00°
Space group C2/m (No. 12)
Inequivalent atoms, fractional coordinates:
Dy 0.000 0.000 0.000 x2
Tm 0.000 0.166 0.500 x4
Tm 0.000 0.333 0.000 x4
Tm 0.000 0.500 0.500 x2
As 0.248 0.500 0.251 x4
As 0.249 0.332 0.749 x8

Computed properties:
Energy relative to the elements (meV per atom): -1511
Size of the total moment (μB/cell): 0.000

The following is a PBE-GGA calculation of crystalline DyTmAs at its relaxed geometry, from Alexandria.

Cell: 15.586 3.619 6.011 Å, 90.00 90.23 90.00°
Space group Cm (No. 8)
Inequivalent atoms, fractional coordinates:
Dy 0.000 0.000 0.000 x2
Dy 0.160 0.500 0.747 x2
Tm 0.000 0.000 0.499 x2
Tm 0.299 0.500 0.246 x2
As 0.117 0.500 0.253 x2
As 0.342 0.500 0.745 x2

Computed properties:
Energy relative to the elements (meV per atom): -422
Size of the total moment (μB/cell): 0.000
Distance to the lowest polymorph of the same formula (meV/atom): 419

Q: Which value of energy relative to the elements does entry 3 give?
A: -572 meV per atom

Q: energy relative to the elements of number 1 (DyTmAs)?
A: -841 meV per atom